# Ce2PrHo3S6

Ce2PrHo3S6 after structural relaxation (PBE-GGA, the Alexandria database).

Lattice parameters (Å, degrees): 6.8240 11.8269 6.9575 90.00 109.15 90.00
Space group C2/m (No. 12)
Unique sites:
Ce (0.0000, 0.1665, 0.0000) (multiplicity 4)
Pr (0.0000, 0.5000, 0.0000) (multiplicity 2)
Ho (0.0000, 0.0000, 0.5000) (multiplicity 2)
Ho (0.0000, 0.3363, 0.5000) (multiplicity 4)
S (0.2426, 0.1686, 0.7334) (multiplicity 8)
S (0.2493, 0.5000, 0.7360) (multiplicity 4)

## Properties
**Energy relative to the elements, uncorrected**: -24.214 eV per formula unit